i | 5
Lattice="5.6655 0.0000 0.0000 0.0000 5.6655 0.0000 0.0000 0.0000 5.1461" Properties=species:S:1:pos:R:3 comment="RbSbTe2P (PBE-GGA, optimized geometry)" volume_a3_per_atom=33.0 dos_ef_per_ev_fu=3.93 m_tot_mub_per_fu=0.0 crystal_system=tetragonal pbc="T T T"
Sb 0.0000 0.0000 2.5730
Te 0.0000 2.8327 0.0000
Te 2.8327 0.0000 0.0000
Rb 2.8327 2.8327 2.5730
P 0.0000 0.0000 0.0000

---

ii | 5
Lattice="-2.2163 6.9351 0.5024 -1.0907 0.1740 -7.2138 -7.5901 -2.5044 1.0872" Properties=species:S:1:pos:R:3 comment="RbSbTe2P (PBE-GGA, optimized geometry)" volume_a3_per_atom=85.9 dos_ef_per_ev_fu=8.04 m_tot_mub_per_fu=9.0 crystal_system=tetragonal pbc="T T T"
Sb -3.7951 -1.2522 0.5436
Te -0.5454 0.0870 -3.6069
Te -1.1081 3.4675 0.2512
Rb 0.0000 0.0000 0.0000
P -5.4486 2.3024 -2.8121

---

Energy comparison, zero being the most stable, in meV per atom: i 0; ii 1529.